1.
This record from Alexandria describes an optimized crystal structure of Nd2Ag3Hg3. The functional is PBE.

Values from the calculation:
**Energy of formation from the pure elements**: -0.31 eV/atom
**Fermi-level density of states**: 0.67 states/eV per atom
**E_tot**: -21.5 eV per cell
**Space group**: R3m (160)

a b c (Å): 5.096 5.096 8.809
angles (deg): 73.19 73.19 60.00
Fractional coordinates of all 8 atoms:
Nd1 0.000 0.000 0.001
Nd2 0.501 0.501 0.498
Ag1 0.252 0.252 0.245
Ag2 0.626 0.626 0.123
Ag3 0.748 0.748 0.756
Hg1 0.374 0.374 0.877
Hg2 0.125 0.125 0.625
Hg3 0.875 0.875 0.374

=====

2.
This record from Alexandria describes an optimized crystal structure of Nd12Ag2Hg5. The functional is PBE.

Values from the calculation:
**Energy of formation from the pure elements**: -0.21 eV/atom
**Fermi-level density of states**: 1.19 states/eV per atom
**E_tot**: -68.4 eV per cell
**Space group**: C2/m (12)

a b c (Å): 10.669 8.398 8.414
angles (deg): 80.70 90.00 129.44
Fractional coordinates of all 19 atoms:
Nd1 0.171 0.786 0.393
Nd2 0.994 0.329 0.183
Nd3 0.900 0.801 0.156
Nd4 0.336 0.329 0.183
Nd5 0.100 0.199 0.844
Nd6 0.615 0.786 0.393
Nd7 0.006 0.671 0.817
Nd8 0.664 0.671 0.817
Nd9 0.385 0.214 0.607
Nd10 0.607 0.215 0.260
Nd11 0.393 0.785 0.740
Nd12 0.829 0.214 0.607
Hg1 0.626 0.251 0.878
Hg2 0.374 0.749 0.122
Hg3 0.768 0.536 0.512
Hg4 0.000 0.000 0.500
Hg5 0.232 0.464 0.488
Ag1 0.727 0.000 0.000
Ag2 0.273 0.000 0.000

=====

3.
This record from Alexandria describes an optimized crystal structure of Nd4Ag2Hg. The functional is PBE.

Values from the calculation:
**Energy of formation from the pure elements**: -0.18 eV/atom
**Offset from the most stable computed form**: 0.0000 eV per atom
**Fermi-level density of states**: 1.36 states/eV per atom
**E_tot**: -26.3 eV per cell
**Space group**: Cmmm (65)

a b c (Å): 5.195 6.499 6.499
angles (deg): 108.51 90.00 90.00
Site moments in Bohr magnetons follow the coordinates.
Fractional coordinates of all 7 atoms:
Nd1 0.000 0.238 0.238  0.10
Nd2 0.500 0.500 0.000  0.10
Nd3 0.500 0.000 0.500  0.10
Nd4 0.000 0.762 0.762  0.10
Hg1 0.500 0.500 0.500  0.01
Ag1 0.000 0.745 0.255  0.01
Ag2 0.000 0.255 0.745  0.01

=====

4.
This record from Alexandria describes an optimized crystal structure of Nd3Ag2Hg3. The functional is PBE.

Values from the calculation:
**Energy of formation from the pure elements**: -0.33 eV/atom
**Offset from the most stable computed form**: 0.0102 eV per atom
**Fermi-level density of states**: 0.75 states/eV per atom
**E_tot**: -23.6 eV per cell
**Space group**: C2/m (12)

a b c (Å): 3.986 5.254 10.395
angles (deg): 103.28 101.05 90.00
Fractional coordinates of all 8 atoms:
Ag1 0.761 0.782 0.522
Ag2 0.239 0.218 0.478
Hg1 0.370 0.883 0.741
Hg2 0.630 0.117 0.259
Hg3 0.500 0.500 0.000
Nd1 0.139 0.625 0.278
Nd2 0.000 0.000 0.000
Nd3 0.861 0.375 0.722

=====

5.
This record from Alexandria describes an optimized crystal structure of Nd5Ag2Hg2. The functional is PBE.

Values from the calculation:
**Energy of formation from the pure elements**: -0.21 eV/atom
**Fermi-level density of states**: 1.23 states/eV per atom
**E_tot**: -64.1 eV per cell
**Space group**: Ima2 (46)

a b c (Å): 6.764 7.770 11.374
angles (deg): 109.97 107.30 90.00
Fractional coordinates of all 18 atoms:
Nd1 0.506 0.500 0.306
Nd2 0.747 0.811 0.170
Nd3 0.077 0.141 0.830
Nd4 0.253 0.641 0.830
Nd5 0.701 0.694 0.694
Nd6 0.494 0.194 0.694
Nd7 0.888 0.264 0.500
Nd8 0.299 0.000 0.306
Nd9 0.112 0.764 0.500
Nd10 0.923 0.311 0.170
Ag1 0.430 0.109 0.107
Ag2 0.177 0.609 0.107
Ag3 0.823 0.502 0.893
Ag4 0.570 0.002 0.893
Hg1 0.681 0.903 0.500
Hg2 0.500 0.411 0.000
Hg3 0.319 0.403 0.500
Hg4 0.000 0.911 0.000

=====

6.
This record from Alexandria describes an optimized crystal structure of Nd6Ag6Hg. The functional is PBE.

Values from the calculation:
**Energy of formation from the pure elements**: -0.15 eV/atom
**Fermi-level density of states**: 1.05 states/eV per atom
**E_tot**: -48.0 eV per cell
**Space group**: P6/mmm (191)

a b c (Å): 6.028 6.028 10.956
angles (deg): 90.00 90.00 120.01
Fractional coordinates of all 13 atoms:
Nd1 0.000 0.000 0.674
Nd2 0.000 0.000 0.326
Nd3 0.333 0.667 0.000
Nd4 0.667 0.333 0.000
Nd5 0.667 0.333 0.500
Nd6 0.333 0.667 0.500
Hg1 0.000 0.000 0.000
Ag1 0.500 0.000 0.242
Ag2 0.500 0.500 0.242
Ag3 0.500 0.500 0.758
Ag4 0.500 0.000 0.758
Ag5 0.000 0.500 0.242
Ag6 0.000 0.500 0.758

=====

7.
This record from Alexandria describes an optimized crystal structure of Nd4Ag3Hg2. The functional is PBE.

Values from the calculation:
**Energy of formation from the pure elements**: -0.29 eV/atom
**Fermi-level density of states**: 0.94 states/eV per atom
**E_tot**: -30.8 eV per cell
**Space group**: C2/m (12)

a b c (Å): 5.078 5.736 9.222
angles (deg): 81.32 90.00 63.73
Fractional coordinates of all 9 atoms:
Ag1 0.630 0.740 0.564
Ag2 0.370 0.260 0.436
Ag3 0.000 0.000 0.000
Hg1 0.748 0.504 0.272
Hg2 0.252 0.496 0.728
Nd1 0.930 0.140 0.657
Nd2 0.070 0.860 0.343
Nd3 0.353 0.293 0.095
Nd4 0.647 0.707 0.905

=====

8.
This record from Alexandria describes an optimized crystal structure of NdAg6Hg2. The functional is PBE.

Values from the calculation:
**Energy of formation from the pure elements**: 0.02 eV/atom
**Fermi-level density of states**: 0.35 states/eV per atom
**E_tot**: -22.3 eV per cell
**Space group**: C2/m (12)

a b c (Å): 3.462 8.364 8.364
angles (deg): 57.22 77.98 77.98
Fractional coordinates of all 9 atoms:
Nd1 0.000 0.000 0.000
Ag1 0.500 0.673 0.327
Ag2 0.675 0.647 0.001
Ag3 0.325 0.353 0.999
Ag4 0.500 0.327 0.673
Ag5 0.675 0.001 0.647
Ag6 0.325 0.999 0.353
Hg1 0.143 0.353 0.353
Hg2 0.857 0.647 0.647

=====

9.
This record from Alexandria describes an optimized crystal structure of Nd2AgHg5. The functional is PBE.

Values from the calculation:
**Energy of formation from the pure elements**: -0.24 eV/atom
**Offset from the most stable computed form**: 0.0000 eV per atom
**Fermi-level density of states**: 0.86 states/eV per atom
**E_tot**: -15.8 eV per cell
**Space group**: I4/mmm (139)

a b c (Å): 5.280 5.280 8.091
angles (deg): 109.04 109.04 90.00
Fractional coordinates of all 8 atoms:
Hg1 0.615 0.115 0.231
Hg2 0.885 0.385 0.769
Hg3 0.115 0.615 0.231
Hg4 0.385 0.885 0.769
Hg5 0.500 0.500 0.000
Ag1 0.000 0.000 0.000
Nd1 0.251 0.251 0.502
Nd2 0.749 0.749 0.498

=====

10.
This record from Alexandria describes an optimized crystal structure of Nd3AgHg. The functional is PBE.

Values from the calculation:
**Energy of formation from the pure elements**: -0.18 eV/atom
**Offset from the most stable computed form**: 0.1010 eV per atom
**Fermi-level density of states**: 1.02 states/eV per atom
**E_tot**: -36.7 eV per cell
**Space group**: P1 (1)

a b c (Å): 3.720 10.752 8.704
angles (deg): 60.29 89.83 89.90
Fractional coordinates of all 10 atoms:
Nd1 0.864 0.681 0.407
Nd2 0.861 0.975 0.675
Nd3 0.860 0.373 0.831
Nd4 0.863 0.601 0.038
Nd5 0.365 0.369 0.453
Nd6 0.369 0.019 0.237
Ag1 0.362 0.826 0.049
Ag2 0.357 0.129 0.835
Hg1 0.869 0.251 0.252
Hg2 0.363 0.716 0.685

=====

11.
This record from Alexandria describes an optimized crystal structure of Nd2AgHg4. The functional is PBE.

Values from the calculation:
**Energy of formation from the pure elements**: -0.29 eV/atom
**Fermi-level density of states**: 0.56 states/eV per atom
**E_tot**: -15.6 eV per cell
**Space group**: R-3m (166)

a b c (Å): 5.129 5.129 8.842
angles (deg): 73.14 73.14 60.00
Fractional coordinates of all 7 atoms:
Ag1 0.000 0.000 0.000
Hg1 0.873 0.873 0.381
Hg2 0.378 0.378 0.866
Hg3 0.127 0.127 0.619
Hg4 0.622 0.622 0.134
Nd1 0.747 0.747 0.759
Nd2 0.253 0.253 0.241

=====

> Which value of E_tot does entry 8 give?

-22.3 eV per cell

=====

> energy of formation from the pure elements of number 4 (Nd3Ag2Hg3)?

-0.33 eV/atom

=====

> Which of these has the highest energy of formation from the pure elements?

NdAg6Hg2